Lu2MgZr | PBE-GGA | optimized geometry

Structure (POSCAR):
```
Lu2MgZr
1.0
-1.021 -5.096 -0.631
-0.710 -3.065 4.184
-4.765 -1.870 1.096
Zr Mg Lu
1 1 2
direct
0.500 0.500 0.500
0.750 0.750 0.750
0.250 0.250 0.250
0.000 0.000 0.000
```

Values from the calculation:
The value obtained for the energy is -18.490 eV per cell.